A plane-wave DFT calculation with PBE was carried out for a relaxed structure of KTaSe2.

Cell and atoms, written as extended XYZ:
```
4
Lattice="0.000 3.557 3.557 3.557 0.000 3.557 3.557 3.557 0.000" Properties=species:S:1:pos:R:3 pbc="T T T"
K 0.000 0.000 0.000
Ta 1.778 1.778 1.778
Se 3.557 3.557 3.557
Se 5.335 5.335 5.335
```

Magnetization ... 2.0 μB/cell
Calculated total energy ... -4.168 eV/atom
Formation energy (no corrections) ... 0.8120 eV per atom